Run one
Computed, not measured: crystalline AlOsPd3 at its relaxed geometry at the GGA-PBE level of DFT.

a = 4.476 Å, b = 4.476 Å, c = 4.476 Å
α = 90.00°, β = 90.00°, γ = 90.00°
Space group Pm-3m (No. 221)
Symmetry-distinct sites (fractional):
Al: 0.000 0.000 0.000 (multiplicity 1)
Os: 0.500 0.500 0.500 (multiplicity 1)
Pd: 0.000 0.000 0.500 (multiplicity 3)

Results
M_tot   2.792 μB/cell


Run two
Computed, not measured: crystalline AlOsPd3 at its relaxed geometry at the GGA-PBE level of DFT.

a = 4.820 Å, b = 4.820 Å, c = 4.820 Å
α = 90.00°, β = 90.00°, γ = 90.00°
Space group Pm-3m (No. 221)
Symmetry-distinct sites (fractional):
Al: 0.000 0.000 0.000 (multiplicity 1)
Os: 0.500 0.500 0.500 (multiplicity 1)
Pd: 0.000 0.500 0.500 (multiplicity 3)

Results
M_tot   0.000 μB/cell


Short version: run one, run two, most stable first.


Run one
Computed, not measured: crystalline Al2Os2Pd at its relaxed geometry at the GGA-PBE level of DFT.

a = 7.273 Å, b = 7.273 Å, c = 2.792 Å
α = 90.00°, β = 90.00°, γ = 90.00°
Space group P4/mbm (No. 127)
Symmetry-distinct sites (fractional):
Al: 0.137 0.363 0.000 (multiplicity 4)
Os: 0.161 0.661 0.500 (multiplicity 4)
Pd: 0.000 0.000 0.000 (multiplicity 2)

Results
M_tot   0.000 μB/cell


Run two
Computed, not measured: crystalline Al2Os2Pd at its relaxed geometry at the GGA-PBE level of DFT.

a = 3.595 Å, b = 3.595 Å, c = 12.845 Å
α = 90.00°, β = 90.00°, γ = 90.00°
Space group I4/mmm (No. 139)
Symmetry-distinct sites (fractional):
Al: 0.000 0.000 0.101 (multiplicity 4)
Os: 0.000 0.500 0.250 (multiplicity 4)
Pd: 0.000 0.000 0.500 (multiplicity 2)

Results
M_tot   0.000 μB/cell


Short version: run one, run two, most stable first.


Run one
Computed, not measured: crystalline PmAlOs at its relaxed geometry at the GGA-PBE level of DFT.

a = 6.121 Å, b = 6.121 Å, c = 8.003 Å
α = 90.00°, β = 90.00°, γ = 90.00°
Space group P4_12_12 (No. 92)
Symmetry-distinct sites (fractional):
Pm: 0.217 0.217 0.000 (multiplicity 4)
Al: 0.166 0.166 0.500 (multiplicity 4)
Os: 0.052 0.948 0.750 (multiplicity 4)

Results
M_tot   0.000 μB/cell


Run two
Computed, not measured: crystalline PmAlOs at its relaxed geometry at the GGA-PBE level of DFT.

a = 5.477 Å, b = 5.609 Å, c = 7.524 Å
α = 90.00°, β = 90.00°, γ = 90.00°
Space group Imma (No. 74)
Symmetry-distinct sites (fractional):
Pm: 0.000 0.250 0.116 (multiplicity 4)
Al: 0.000 0.000 0.500 (multiplicity 4)
Os: 0.250 0.250 0.750 (multiplicity 4)

Results
M_tot   0.000 μB/cell


Short version: run two, run one, most stable first.


Run one
Computed, not measured: crystalline PmAlOs at its relaxed geometry at the GGA-PBE level of DFT.

a = 4.3469 Å, b = 4.3469 Å, c = 3.8871 Å
α = 90.00°, β = 90.00°, γ = 120.00°
Space group P-6m2 (No. 187)
Symmetry-distinct sites (fractional):
Pm: 0.0000 0.0000 0.0000 (multiplicity 1)
Al: 0.6667 0.3333 0.5000 (multiplicity 1)
Os: 0.3333 0.6667 0.5000 (multiplicity 1)

Results
M_tot   0.000 μB/cell


Run two
Computed, not measured: crystalline PmAlOs at its relaxed geometry at the GGA-PBE level of DFT.

a = 3.288 Å, b = 3.288 Å, c = 11.082 Å
α = 90.00°, β = 90.00°, γ = 90.00°
Space group I4mm (No. 107)
Symmetry-distinct sites (fractional):
Pm: 0.000 0.000 0.000 (multiplicity 2)
Al: 0.000 0.000 0.279 (multiplicity 2)
Os: 0.000 0.000 0.678 (multiplicity 2)

Results
M_tot   0.000 μB/cell


Short version: run one, run two, most stable first.


Run one
Computed, not measured: crystalline Pm4AlOs at its relaxed geometry at the GGA-PBE level of DFT.

a = 13.826 Å, b = 13.826 Å, c = 13.826 Å
α = 90.00°, β = 90.00°, γ = 90.00°
Space group F-43m (No. 216)
Symmetry-distinct sites (fractional):
Pm: 0.000 0.000 0.191 (multiplicity 24)
Pm: 0.054 0.250 0.250 (multiplicity 24)
Pm: 0.099 0.099 0.599 (multiplicity 16)
Al: 0.175 0.175 0.825 (multiplicity 16)
Os: 0.112 0.112 0.388 (multiplicity 16)

Results
M_tot   0.000 μB/cell


Run two
Computed, not measured: crystalline Pm4AlOs at its relaxed geometry at the GGA-PBE level of DFT.

a = 8.730 Å, b = 13.346 Å, c = 6.228 Å
α = 90.00°, β = 107.98°, γ = 90.00°
Space group C2/c (No. 15)
Symmetry-distinct sites (fractional):
Pm: 0.110 0.171 0.048 (multiplicity 8)
Pm: 0.212 0.425 0.393 (multiplicity 8)
Al: 0.000 0.376 0.750 (multiplicity 4)
Os: 0.000 0.001 0.250 (multiplicity 4)

Results
M_tot   0.000 μB/cell


Short version: run one, run two, most stable first.


Run one
Computed, not measured: crystalline PmAl3Os at its relaxed geometry at the GGA-PBE level of DFT.

a = 6.512 Å, b = 6.512 Å, c = 6.512 Å
α = 90.00°, β = 90.00°, γ = 90.00°
Space group Pm-3m (No. 221)
Symmetry-distinct sites (fractional):
Pm: 0.000 0.000 0.500 (multiplicity 3)
Al: 0.000 0.000 0.000 (multiplicity 1)
Al: 0.294 0.294 0.294 (multiplicity 8)
Os: 0.000 0.500 0.500 (multiplicity 3)

Results
M_tot   0.000 μB/cell


Run two
Computed, not measured: crystalline PmAl3Os at its relaxed geometry at the GGA-PBE level of DFT.

a = 4.729 Å, b = 4.729 Å, c = 4.729 Å
α = 90.00°, β = 90.00°, γ = 90.00°
Space group Pm-3m (No. 221)
Symmetry-distinct sites (fractional):
Pm: 0.000 0.000 0.000 (multiplicity 1)
Al: 0.000 0.500 0.500 (multiplicity 3)
Os: 0.500 0.500 0.500 (multiplicity 1)

Results
M_tot   0.000 μB/cell


Short version: run one, run two, most stable first.


Run one
Computed, not measured: crystalline Pm2AlOs at its relaxed geometry at the GGA-PBE level of DFT.

a = 7.185 Å, b = 7.185 Å, c = 7.185 Å
α = 90.00°, β = 90.00°, γ = 90.00°
Space group Fm-3m (No. 225)
Symmetry-distinct sites (fractional):
Pm: 0.250 0.250 0.250 (multiplicity 8)
Al: 0.000 0.000 0.000 (multiplicity 4)
Os: 0.000 0.000 0.500 (multiplicity 4)

Results
M_tot   0.000 μB/cell


Run two
Computed, not measured: crystalline Pm2AlOs at its relaxed geometry at the GGA-PBE level of DFT.

a = 3.576 Å, b = 3.576 Å, c = 7.348 Å
α = 90.00°, β = 90.00°, γ = 90.00°
Space group P4/mmm (No. 123)
Symmetry-distinct sites (fractional):
Pm: 0.000 0.000 0.230 (multiplicity 2)
Al: 0.500 0.500 0.500 (multiplicity 1)
Os: 0.500 0.500 0.000 (multiplicity 1)

Results
M_tot   0.000 μB/cell


Run three
Computed, not measured: crystalline Pm2AlOs at its relaxed geometry at the GGA-PBE level of DFT.

a = 7.613 Å, b = 4.400 Å, c = 6.771 Å
α = 90.00°, β = 112.10°, γ = 90.00°
Space group Cm (No. 8)
Symmetry-distinct sites (fractional):
Pm: 0.000 0.000 0.000 (multiplicity 2)
Pm: 0.185 0.000 0.555 (multiplicity 2)
Al: 0.259 0.500 0.278 (multiplicity 2)
Os: 0.427 0.000 0.281 (multiplicity 2)

Results
M_tot   0.000 μB/cell


Short version: run three, run two, run one, most stable first.


Run one
Computed, not measured: crystalline PmAl2Os at its relaxed geometry at the GGA-PBE level of DFT.

a = 4.2687 Å, b = 4.2687 Å, c = 15.5901 Å
α = 90.00°, β = 90.00°, γ = 120.00°
Space group R-3m (No. 166, hexagonal axes)
Symmetry-distinct sites (fractional):
Pm: 0.0000 0.0000 0.0000 (multiplicity 3)
Al: 0.0000 0.0000 0.2058 (multiplicity 6)
Os: 0.0000 0.0000 0.5000 (multiplicity 3)

Results
M_tot   0.000 μB/cell


Run two
Computed, not measured: crystalline PmAl2Os at its relaxed geometry at the GGA-PBE level of DFT.

a = 6.594 Å, b = 6.594 Å, c = 6.594 Å
α = 90.00°, β = 90.00°, γ = 90.00°
Space group Fm-3m (No. 225)
Symmetry-distinct sites (fractional):
Pm: 0.000 0.000 0.000 (multiplicity 4)
Al: 0.250 0.250 0.250 (multiplicity 8)
Os: 0.000 0.000 0.500 (multiplicity 4)

Results
M_tot   0.000 μB/cell


Run three
Computed, not measured: crystalline PmAl2Os at its relaxed geometry at the GGA-PBE level of DFT.

a = 3.165 Å, b = 3.165 Å, c = 7.420 Å
α = 90.00°, β = 90.00°, γ = 90.00°
Space group P4/mmm (No. 123)
Symmetry-distinct sites (fractional):
Pm: 0.000 0.000 0.000 (multiplicity 1)
Al: 0.500 0.500 0.317 (multiplicity 2)
Os: 0.000 0.000 0.500 (multiplicity 1)

Results
M_tot   0.000 μB/cell


Short version: run one, run three, run two, most stable first.